[1]
# BaAuSe2F

BaAuSe2F after structural relaxation (PBE, Alexandria).

Values from the calculation:
- SG = No. 123
- energy (eV per atom) = -3.94
- raw formation energy (eV/atom) = -1.1336

```
BaAuSe2F
1.0
5.154 0.000 0.000
0.000 5.154 0.000
0.000 0.000 4.729
Ba Au Se F
1 1 2 1
Direct
0.000 0.000 0.000
0.500 0.500 0.500
0.000 0.500 0.500
0.500 0.000 0.500
0.500 0.500 0.000
```

---

[2]
# BaSiAu2F

BaSiAu2F after structural relaxation (PBE, Alexandria).

Values from the calculation:
- SG = No. 123
- energy (eV per atom) = -2.32
- raw formation energy (eV/atom) = 0.8355

```
BaSiAu2F
1.0
6.041 0.000 0.000
0.000 6.041 0.000
0.000 0.000 7.257
Ba Si Au F
1 1 2 1
Direct
0.000 0.000 0.000
0.000 0.000 0.500
0.000 0.500 0.000
0.500 0.000 0.000
0.500 0.500 0.500
```

---

[3]
# BaTe2AuF

BaTe2AuF after structural relaxation (PBE, Alexandria).

Values from the calculation:
- SG = No. 123
- energy (eV per atom) = -3.38
- raw formation energy (eV/atom) = -0.7121

```
BaTe2AuF
1.0
4.928 0.000 0.000
0.000 4.928 0.000
0.000 0.000 5.733
Ba Te Au F
1 2 1 1
Direct
0.000 0.000 0.000
0.000 0.500 0.500
0.500 0.000 0.500
0.500 0.500 0.000
0.500 0.500 0.500
```

---

[4]
# BaFeAu2

BaFeAu2 after structural relaxation (PBE, Alexandria).

Values from the calculation:
- energy of formation (eV/atom) = 0.179
- polymorph energy (0 for the lowest one) (meV per atom) = 405
- SG = No. 225
- energy (eV per atom) = -4.06

```
BaFeAu2
1.0
0.000 3.691 3.691
3.691 0.000 3.691
3.691 3.691 0.000
Ba Fe Au
1 1 2
Direct
0.000 0.000 0.000
0.500 0.500 0.500
0.250 0.250 0.250
0.750 0.750 0.750
```

---

[5]
# BaFeAu2

BaFeAu2 after structural relaxation (PBE, Alexandria).

Values from the calculation:
- energy of formation (eV/atom) = -0.008
- polymorph energy (0 for the lowest one) (meV per atom) = 217
- SG = No. 10
- energy (eV per atom) = -4.24

```
BaFeAu2
1.0
3.494 0.000 0.000
0.000 3.483 0.000
-0.111 0.000 7.494
Ba Fe Au
1 1 2
Direct
0.000 0.000 0.000
0.000 0.000 0.500
0.490 0.500 0.684
0.510 0.500 0.316
```

---

[6]
# BaFe2Au

BaFe2Au after structural relaxation (PBE, Alexandria).

Values from the calculation:
- energy of formation (eV/atom) = 0.188
- SG = No. 160
- energy (eV per atom) = -5.34

```
BaFe2Au
1.0
2.187 1.263 5.829
-2.187 1.263 5.829
0.000 -2.525 5.829
Ba Fe Au
1 2 1
Direct
0.000 0.000 0.000
0.191 0.191 0.191
0.503 0.503 0.503
0.809 0.809 0.809
```

---

[7]
# BaFe2Au

BaFe2Au after structural relaxation (PBE, Alexandria).

Values from the calculation:
- energy of formation (eV/atom) = 0.471
- SG = No. 123
- energy (eV per atom) = -5.06

```
BaFe2Au
1.0
3.529 0.000 0.000
0.000 3.529 0.000
0.000 0.000 7.128
Ba Fe Au
1 2 1
Direct
0.000 0.000 0.000
0.500 0.500 0.344
0.500 0.500 0.656
0.000 0.000 0.500
```

---

[8]
# BaFe2Au

BaFe2Au after structural relaxation (PBE, Alexandria).

Values from the calculation:
- energy of formation (eV/atom) = 0.206
- SG = No. 166
- energy (eV per atom) = -5.33

```
BaFe2Au
1.0
2.209 1.276 5.628
-2.209 1.276 5.628
0.000 -2.551 5.628
Ba Fe Au
1 2 1
Direct
0.000 0.000 0.000
0.187 0.187 0.187
0.813 0.813 0.813
0.500 0.500 0.500
```

---

The lowest energy belongs to which entry? number 6